The following is a PBE-GGA calculation of crystalline Tb2Pm7Y2 at its relaxed geometry, from the Alexandria database.

## Properties
crystal system	orthorhombic
calculated volume	35.46	Å³/atom
distance to the lowest polymorph of the same formula	0.072	eV per atom
ΔH_f (0 K)	214	meV/atom
raw total energy	-4.826	eV/atom

Unit cell a=5.5830 b=5.5830 c=13.9883 alpha=90.00 beta=90.00 gamma=116.56
Fractional coordinates of all 11 atoms:
1 Tb 0.1685 0.8315 0.0000
2 Tb 0.8315 0.1685 0.0000
3 Pm 0.0000 0.0000 0.5000
4 Pm 0.1665 0.8335 0.2552
5 Pm 0.1665 0.8335 0.7448
6 Pm 0.5000 0.5000 0.1262
7 Pm 0.5000 0.5000 0.8738
8 Pm 0.8335 0.1665 0.2552
9 Pm 0.8335 0.1665 0.7448
10 Y 0.5000 0.5000 0.3715
11 Y 0.5000 0.5000 0.6285